A plane-wave DFT calculation with PBE was carried out for crystalline BaPaSi2Se8 at its relaxed geometry.

Computed properties:
Size of the total moment: 0.0003 μB/atom
DOS at the Fermi energy: 0.778 states/eV per atom
Space group: P-3 (147)
Raw formation energy: -970 kJ/mol of formula units
Total DFT energy (no corrections): -5.017 eV/atom

Lattice parameters (Å, degrees): 6.522 6.522 9.395 90.00 90.00 120.00
Element x y z (fractional)
Ba: 0.000 0.000 0.000
Pa: 0.000 0.000 0.500
Si: 0.333 0.667 0.753
Si: 0.667 0.333 0.247
Se: 0.009 0.667 0.318
Se: 0.333 0.343 0.318
Se: 0.333 0.667 0.993
Se: 0.343 0.009 0.682
Se: 0.657 0.991 0.318
Se: 0.667 0.333 0.007
Se: 0.667 0.657 0.682
Se: 0.991 0.333 0.682

=====

A plane-wave DFT calculation with PBE was carried out for crystalline Ba2SmPaSe6 at its relaxed geometry.

Computed properties:
Size of the total moment: 0.0000 μB/atom
DOS at the Fermi energy: 0.000 states/eV per atom
Space group: P2_1/c (14)
Raw formation energy: -1749 kJ/mol of formula units
Total DFT energy (no corrections): -5.710 eV/atom

Lattice parameters (Å, degrees): 7.511 7.956 13.233 90.00 124.55 90.00
Element x y z (fractional)
Ba: 0.226 0.076 0.250
Ba: 0.226 0.424 0.750
Ba: 0.774 0.576 0.250
Ba: 0.774 0.924 0.750
Sm: 0.000 0.000 0.500
Sm: 0.000 0.500 0.000
Pa: 0.500 0.000 0.000
Pa: 0.500 0.500 0.500
Se: 0.152 0.193 0.951
Se: 0.152 0.307 0.451
Se: 0.260 0.705 0.949
Se: 0.260 0.795 0.449
Se: 0.352 0.023 0.756
Se: 0.352 0.477 0.256
Se: 0.648 0.523 0.744
Se: 0.648 0.977 0.244
Se: 0.740 0.205 0.551
Se: 0.740 0.295 0.051
Se: 0.848 0.693 0.549
Se: 0.848 0.807 0.049

=====

A plane-wave DFT calculation with PBE was carried out for crystalline Ba2PaSnSe5 at its relaxed geometry.

Computed properties:
Size of the total moment: 0.1126 μB/atom
DOS at the Fermi energy: 0.537 states/eV per atom
Space group: Cmc2_1 (36)
Raw formation energy: -1233 kJ/mol of formula units
Total DFT energy (no corrections): -5.283 eV/atom

Lattice parameters (Å, degrees): 9.622 9.622 14.517 90.00 90.00 153.40
Element x y z (fractional)
Ba: 0.089 0.911 0.500
Ba: 0.135 0.865 0.143
Ba: 0.865 0.135 0.643
Ba: 0.911 0.089 0.000
Pa: 0.222 0.778 0.869
Pa: 0.778 0.222 0.369
Sn: 0.454 0.546 0.289
Sn: 0.546 0.454 0.789
Se: 0.077 0.923 0.912
Se: 0.266 0.734 0.501
Se: 0.305 0.695 0.241
Se: 0.370 0.630 0.830
Se: 0.493 0.507 0.603
Se: 0.507 0.493 0.103
Se: 0.630 0.370 0.330
Se: 0.695 0.305 0.741
Se: 0.734 0.266 0.001
Se: 0.923 0.077 0.412

=====

A plane-wave DFT calculation with PBE was carried out for crystalline Ba2TbPaSe6 at its relaxed geometry.

Computed properties:
Size of the total moment: 0.0000 μB/atom
Space group: P2_1/c (14)
Raw formation energy: -1755 kJ/mol of formula units
Total DFT energy (no corrections): -5.707 eV/atom

Lattice parameters (Å, degrees): 7.480 7.898 13.166 90.00 124.52 90.00
Element x y z (fractional)
Ba: 0.227 0.074 0.249
Ba: 0.227 0.426 0.749
Ba: 0.773 0.574 0.251
Ba: 0.773 0.926 0.751
Tb: 0.000 0.000 0.500
Tb: 0.000 0.500 0.000
Pa: 0.500 0.000 0.000
Pa: 0.500 0.500 0.500
Se: 0.153 0.195 0.953
Se: 0.153 0.305 0.453
Se: 0.260 0.704 0.952
Se: 0.260 0.796 0.452
Se: 0.345 0.019 0.754
Se: 0.345 0.481 0.254
Se: 0.655 0.519 0.746
Se: 0.655 0.981 0.246
Se: 0.740 0.204 0.548
Se: 0.740 0.296 0.048
Se: 0.847 0.695 0.547
Se: 0.847 0.805 0.047